# LaVP3 | the Alexandria database | GGA-PBE | relaxed
data_LaVP3
_chemical_formula_sum 'La1 V1 P3'
_cell_length_a 5.328
_cell_length_b 5.328
_cell_length_c 5.328
_cell_angle_alpha 90.00
_cell_angle_beta 90.00
_cell_angle_gamma 90.00
_symmetry_space_group_name_H-M 'P m -3 m'
_symmetry_Int_Tables_number 221
_symmetry_space_group_name_Hall '-P 4 2 3'
loop_
_atom_site_label
_atom_site_type_symbol
_atom_site_fract_x
_atom_site_fract_y
_atom_site_fract_z
La1 La 0.000 0.000 0.000
V1 V 0.500 0.500 0.500
P1 P 0.000 0.000 0.500
# Energy relative to the lowest polymorph listed for this composition, meV/atom: 1824.4
# Crystal system: cubic

# BaAcAl2Si2 | the Alexandria database | GGA-PBE | relaxed
data_BaAcAl2Si2
_chemical_formula_sum 'Ba1 Ac1 Al2 Si2'
_cell_length_a 4.2943
_cell_length_b 4.2943
_cell_length_c 9.8994
_cell_angle_alpha 90.00
_cell_angle_beta 90.00
_cell_angle_gamma 120.00
_symmetry_space_group_name_H-M 'P -3 m 1'
_symmetry_Int_Tables_number 164
_symmetry_space_group_name_Hall '-P 3 2"'
loop_
_atom_site_label
_atom_site_type_symbol
_atom_site_fract_x
_atom_site_fract_y
_atom_site_fract_z
Ba1 Ba 0.0000 0.0000 0.0000
Ac1 Ac 0.0000 0.0000 0.5000
Al1 Al 0.3333 0.6667 0.7439
Si1 Si 0.3333 0.6667 0.2649
# E_form (uncorrected), meV/atom: -476
# Crystal system: trigonal

# Nb2Sb | the Alexandria database | GGA-PBE | relaxed
data_Nb2Sb
_chemical_formula_sum 'Nb28 Sb14'
_cell_length_a 9.193
_cell_length_b 3.288
_cell_length_c 28.709
_cell_angle_alpha 90.00
_cell_angle_beta 91.60
_cell_angle_gamma 90.00
_symmetry_space_group_name_H-M 'C 1 m 1'
_symmetry_Int_Tables_number 8
loop_
_symmetry_equiv_pos_as_xyz
'x,y,z'
'x,-y,z'
'x+1/2,y+1/2,z'
'x+1/2,-y+1/2,z'
loop_
_atom_site_label
_atom_site_type_symbol
_atom_site_fract_x
_atom_site_fract_y
_atom_site_fract_z
Nb1 Nb 0.000 0.000 0.000
Nb2 Nb 0.000 0.000 0.195
Nb3 Nb 0.041 0.500 0.282
Nb4 Nb 0.043 0.500 0.383
Nb5 Nb 0.125 0.000 0.569
Nb6 Nb 0.127 0.000 0.670
Nb7 Nb 0.205 0.500 0.856
Nb8 Nb 0.208 0.500 0.956
Nb9 Nb 0.270 0.000 0.239
Nb10 Nb 0.335 0.500 0.426
Nb11 Nb 0.336 0.500 0.527
Nb12 Nb 0.416 0.000 0.713
Nb13 Nb 0.417 0.000 0.814
Nb14 Nb 0.499 0.500 0.097
Sb1 Sb 0.118 0.000 0.470
Sb2 Sb 0.199 0.500 0.757
Sb3 Sb 0.220 0.500 0.150
Sb4 Sb 0.281 0.000 0.044
Sb5 Sb 0.324 0.500 0.327
Sb6 Sb 0.408 0.000 0.613
Sb7 Sb 0.488 0.500 0.900
# E_form (uncorrected), meV/atom: 106
# Crystal system: monoclinic

# TbPmDy2Tm4 | the Alexandria database | GGA-PBE | relaxed
data_TbPmDy2Tm4
_chemical_formula_sum 'Tb4 Pm4 Dy8 Tm16'
_cell_length_a 6.754
_cell_length_b 11.677
_cell_length_c 13.213
_cell_angle_alpha 90.00
_cell_angle_beta 90.00
_cell_angle_gamma 90.00
_symmetry_space_group_name_H-M 'I m m a'
_symmetry_Int_Tables_number 74
_symmetry_space_group_name_Hall '-I 2b 2'
loop_
_atom_site_label
_atom_site_type_symbol
_atom_site_fract_x
_atom_site_fract_y
_atom_site_fract_z
Tb1 Tb 0.250 0.250 0.250
Pm1 Pm 0.000 0.000 0.000
Dy1 Dy 0.000 0.000 0.500
Dy2 Dy 0.250 0.250 0.750
Tm1 Tm 0.000 0.000 0.251
Tm2 Tm 0.249 0.250 0.500
# Crystal system: orthorhombic

# SrPtSeBr2 | the Alexandria database | GGA-PBE | relaxed
data_SrPtSeBr2
_chemical_formula_sum 'Sr1 Pt1 Se1 Br2'
_cell_length_a 4.983
_cell_length_b 4.983
_cell_length_c 6.331
_cell_angle_alpha 90.00
_cell_angle_beta 90.00
_cell_angle_gamma 90.00
_symmetry_space_group_name_H-M 'P 4/m m m'
_symmetry_Int_Tables_number 123
_symmetry_space_group_name_Hall '-P 4 2'
loop_
_atom_site_label
_atom_site_type_symbol
_atom_site_fract_x
_atom_site_fract_y
_atom_site_fract_z
Sr1 Sr 0.000 0.000 0.000
Pt1 Pt 0.000 0.000 0.500
Se1 Se 0.500 0.500 0.000
Br1 Br 0.000 0.500 0.500
# E_form (uncorrected), meV/atom: -508
# Energy relative to the lowest polymorph listed for this composition, meV/atom: 319.8
# Crystal system: tetragonal

# TiNb3Ga | the Alexandria database | GGA-PBE | relaxed
data_TiNb3Ga
_chemical_formula_sum 'Ti1 Nb3 Ga1'
_cell_length_a 4.694
_cell_length_b 4.694
_cell_length_c 4.694
_cell_angle_alpha 90.00
_cell_angle_beta 90.00
_cell_angle_gamma 90.00
_symmetry_space_group_name_H-M 'P m -3 m'
_symmetry_Int_Tables_number 221
_symmetry_space_group_name_Hall '-P 4 2 3'
loop_
_atom_site_label
_atom_site_type_symbol
_atom_site_fract_x
_atom_site_fract_y
_atom_site_fract_z
Ti1 Ti 0.000 0.000 0.000
Nb1 Nb 0.000 0.000 0.500
Ga1 Ga 0.500 0.500 0.500
# Energy relative to the lowest polymorph listed for this composition, meV/atom: 303.4
# Crystal system: cubic

Number 1: energy -4.859 eV per atom. Number 2: energy -4.536 eV per atom. Number 3: energy -7.982 eV per atom. Number 4: energy -4.113 eV per atom. Number 5: energy -3.418 eV per atom. Number 6: energy -7.132 eV per atom.